No. 1
Cr2Os3 after structural relaxation, computed with PBE.

Computed properties:
Energy above the lowest structure with this stoichiometry ... 290 meV per atom

a = 4.0645 Å, b = 4.0645 Å, c = 5.0887 Å
α = 90.00°, β = 90.00°, γ = 120.00°
Closest atoms and distances in Å follow each position.
Space group P-3m1 (No. 164)
Inequivalent atoms, fractional coordinates:
Cr1 0.3333 0.6667 0.3191 [2 per cell]  8 Os 2.42-2.67
Os1 0.0000 0.0000 0.5000 [1 per cell]  6 Cr 2.52
Os2 0.3333 0.6667 0.8445 [2 per cell]  5 Cr 2.42-2.67

=====

No. 2
CrOs after structural relaxation, computed with PBE.

a = 2.6843 Å, b = 2.6843 Å, c = 25.6131 Å
α = 90.00°, β = 90.00°, γ = 120.00°
Closest atoms and distances in Å follow each position.
Space group R-3m (No. 166, hexagonal axes)
Inequivalent atoms, fractional coordinates:
Cr1 0.0000 0.0000 0.1263 [6 per cell]  3 Os 2.57, 9 Cr 2.58-2.68
Os1 0.0000 0.0000 0.3798 [6 per cell]  3 Cr 2.57, 9 Os 2.68-2.84

=====

No. 3
CrOs2 after structural relaxation, computed with PBE.

a = 7.2321 Å, b = 7.2321 Å, c = 7.2321 Å
α = 90.00°, β = 90.00°, γ = 90.00°
Closest atoms and distances in Å follow each position.
Space group Fd-3m (No. 227, origin choice 2)
Inequivalent atoms, fractional coordinates:
Cr1 0.1250 0.1250 0.1250 [8 per cell]  12 Os 3.00, 4 Cr 3.13
Os1 0.0000 0.0000 0.5000 [16 per cell]  6 Os 2.56

=====

No. 4
Cr3Os2 after structural relaxation, computed with PBE.

Computed properties:
Energy above the lowest structure with this stoichiometry ... 53 meV per atom

a = 2.6496 Å, b = 2.6496 Å, c = 32.2814 Å
α = 90.00°, β = 90.00°, γ = 120.00°
Closest atoms and distances in Å follow each position.
Space group R-3m (No. 166, hexagonal axes)
Inequivalent atoms, fractional coordinates:
Cr1 0.0000 0.0000 0.0000 [3 per cell]  6 Cr 2.65, 6 Os 2.67
Cr2 0.0000 0.0000 0.1993 [6 per cell]  9 Cr 2.60-2.65, 3 Os 2.63
Os1 0.0000 0.0000 0.4010 [6 per cell]  6 Cr 2.63-2.67, 6 Os 2.65

=====

ΔH_f (0 K)? In order: 0.394 0.199 0.631 0.211 eV per atom.